Entry 1:
Density functional theory data (PBE) for a geometry-optimized Tb3Cu4Sn4 structure.

Properties
As for the crystal system: orthorhombic. Its magnetic moment is 0.00 μB/f.u. As for the calculated formation energy: -5.75 eV/f.u.

Cell lengths 8.475, 8.475, 8.475 Å; angles 149.27, 131.51, 58.51 degrees
Positions (direct):
Sn  0.216  0.216  0.000
Cu  0.017  0.330  0.688
Sn  0.297  0.500  0.797
Sn  0.784  0.784  0.000
Tb  0.000  0.000  0.000
Sn  0.703  0.500  0.203
Cu  0.358  0.670  0.688
Tb  0.369  0.869  0.500
Tb  0.631  0.131  0.500
Cu  0.642  0.330  0.312
Cu  0.983  0.670  0.312

***

Entry 2:
Density functional theory data (PBE) for a geometry-optimized TbCuSnTe3 structure.

Properties
As for the crystal system: monoclinic. Its magnetic moment is 0.00 μB/f.u. The energy relative to the elements, uncorrected is -0.66 eV/atom.

Cell lengths 4.265, 9.115, 9.587 Å; angles 104.39, 90.00, 90.00 degrees
Positions (direct):
Te  0.750  0.428  0.166
Cu  0.750  0.925  0.427
Te  0.250  0.093  0.864
Te  0.250  0.774  0.498
Te  0.750  0.907  0.136
Sn  0.250  0.184  0.234
Sn  0.750  0.816  0.766
Tb  0.750  0.325  0.829
Cu  0.250  0.075  0.573
Te  0.250  0.572  0.834
Tb  0.250  0.675  0.171
Te  0.750  0.226  0.502

***

Entry 3:
Density functional theory data (PBE) for a geometry-optimized TbTmCuSn structure.

Properties
As for the crystal system: cubic. Its magnetic moment is 0.00 μB/f.u. As for the calculated formation energy: -1.68 eV/f.u.

Cell lengths 5.119, 5.119, 5.119 Å; angles 60.00, 60.00, 60.00 degrees
Positions (direct):
Cu  0.750  0.750  0.750
Tm  0.500  0.500  0.500
Sn  0.250  0.250  0.250
Tb  0.000  0.000  0.000

***

Entry 4:
Density functional theory data (PBE) for a geometry-optimized TbYCuSn structure.

Properties
As for the crystal system: cubic. Its magnetic moment is 0.00 μB/f.u. As for the calculated formation energy: -1.78 eV/f.u.

Cell lengths 5.160, 5.160, 5.160 Å; angles 60.00, 60.00, 60.00 degrees
Positions (direct):
Y  0.750  0.750  0.750
Tb  0.250  0.250  0.250
Sn  0.000  0.000  0.000
Cu  0.500  0.500  0.500

***

Entry 5:
Density functional theory data (PBE) for a geometry-optimized TbZnCuSn structure.

Properties
As for the crystal system: cubic. Its magnetic moment is 0.00 μB/f.u. As for the calculated formation energy: -1.17 eV/f.u.

Cell lengths 4.815, 4.815, 4.815 Å; angles 60.00, 60.00, 60.00 degrees
Positions (direct):
Zn  0.000  0.000  0.000
Tb  0.750  0.750  0.750
Cu  0.500  0.500  0.500
Sn  0.250  0.250  0.250

***

Entry 6:
Density functional theory data (PBE) for a geometry-optimized Cu3TcSn structure.

Properties
As for the crystal system: cubic. Its magnetic moment is 1.17 μB/f.u. As for the calculated formation energy: 5.82 eV/f.u.

Cell lengths 4.682, 4.682, 4.682 Å; angles 90.00, 90.00, 90.00 degrees
Positions (direct):
Tc  0.000  0.000  0.000
Cu  0.000  0.000  0.500
Cu  0.500  0.000  0.000
Sn  0.500  0.500  0.500
Cu  0.000  0.500  0.000